Record 1
# PaInGa4, relaxed, DFT PBE
data_PaInGa4
_cell_length_a 7.848
_cell_length_b 7.848
_cell_length_c 7.848
_cell_angle_alpha 90.00
_cell_angle_beta 90.00
_cell_angle_gamma 90.00
_space_group_name_H-M_alt 'F -4 3 m'
_space_group_IT_number 216
_space_group_name_Hall 'F -4 2 3'
loop_
_atom_site_label
_atom_site_type_symbol
_atom_site_fract_x
_atom_site_fract_y
_atom_site_fract_z
Pa1 Pa 0.000 0.000 0.000
In1 In 0.250 0.250 0.750
Ga1 Ga 0.125 0.125 0.375
# Total DFT energy (no corrections), eV per atom: -4.104
# Formation enthalpy at 0 K, eV/f.u.: -0.28

Record 2
# LiMnAu5, relaxed, DFT PBE
data_LiMnAu5
_cell_length_a 6.997
_cell_length_b 6.729
_cell_length_c 11.000
_cell_angle_alpha 90.00
_cell_angle_beta 90.00
_cell_angle_gamma 90.00
_space_group_name_H-M_alt 'C m c m'
_space_group_IT_number 63
_space_group_name_Hall '-C 2c 2'
loop_
_atom_site_label
_atom_site_type_symbol
_atom_site_fract_x
_atom_site_fract_y
_atom_site_fract_z
Li1 Li 0.000 0.080 0.250
Mn1 Mn 0.000 0.500 0.000
Au1 Au 0.000 0.497 0.250
Au2 Au 0.214 0.209 0.620
# Total DFT energy (no corrections), eV per atom: -4.084
# Formation enthalpy at 0 K, eV/f.u.: -1.12

Record 3
# KCa2InBr8, relaxed, DFT PBE
data_KCa2InBr8
_cell_length_a 6.625
_cell_length_b 8.996
_cell_length_c 6.967
_cell_angle_alpha 90.00
_cell_angle_beta 90.72
_cell_angle_gamma 90.00
_space_group_name_H-M_alt 'P 1 2/m 1'
_space_group_IT_number 10
_space_group_name_Hall '-P 2y'
loop_
_atom_site_label
_atom_site_type_symbol
_atom_site_fract_x
_atom_site_fract_y
_atom_site_fract_z
K1 K 0.000 0.000 0.000
Ca1 Ca 0.500 0.255 0.500
In1 In 0.000 0.500 0.000
Br1 Br 0.237 0.287 0.154
Br2 Br 0.251 0.500 0.667
Br3 Br 0.270 0.000 0.626
# Total DFT energy (no corrections), eV per atom: -3.296
# E_form (uncorrected), meV/atom: -1527

Record 4
# InAsOF2, relaxed, DFT PBE
data_InAsOF2
_cell_length_a 4.357
_cell_length_b 4.357
_cell_length_c 4.385
_cell_angle_alpha 90.00
_cell_angle_beta 90.00
_cell_angle_gamma 90.00
_space_group_name_H-M_alt 'P 4/m m m'
_space_group_IT_number 123
_space_group_name_Hall '-P 4 2'
loop_
_atom_site_label
_atom_site_type_symbol
_atom_site_fract_x
_atom_site_fract_y
_atom_site_fract_z
In1 In 0.000 0.000 0.000
As1 As 0.500 0.500 0.500
O1 O 0.000 0.000 0.500
F1 F 0.000 0.500 0.000
# Total DFT energy (no corrections), eV per atom: -4.209
# Relative energy among the computed polymorphs, eV/atom: 0.3275
# E_form (uncorrected), meV/atom: -991

Record 5
# Li2LaTiC, relaxed, DFT PBE
data_Li2LaTiC
_cell_length_a 5.534
_cell_length_b 5.534
_cell_length_c 4.244
_cell_angle_alpha 90.00
_cell_angle_beta 90.00
_cell_angle_gamma 90.00
_space_group_name_H-M_alt 'P 4/m m m'
_space_group_IT_number 123
_space_group_name_Hall '-P 4 2'
loop_
_atom_site_label
_atom_site_type_symbol
_atom_site_fract_x
_atom_site_fract_y
_atom_site_fract_z
Li1 Li 0.000 0.500 0.000
La1 La 0.000 0.000 0.000
Ti1 Ti 0.500 0.500 0.500
C1 C 0.000 0.000 0.500
# Total DFT energy (no corrections), eV per atom: -3.702
# Formation enthalpy at 0 K, eV/f.u.: 7.36

Record 6
# CsRb3, relaxed, DFT PBE
data_CsRb3
_cell_length_a 5.1565
_cell_length_b 5.1565
_cell_length_c 16.5812
_cell_angle_alpha 90.00
_cell_angle_beta 90.00
_cell_angle_gamma 120.00
_space_group_name_H-M_alt 'P -6 m 2'
_space_group_IT_number 187
_space_group_name_Hall 'P -6 2'
loop_
_atom_site_label
_atom_site_type_symbol
_atom_site_fract_x
_atom_site_fract_y
_atom_site_fract_z
Cs1 Cs 0.0000 0.0000 0.0000
Rb1 Rb 0.3333 0.6667 0.2577
Rb2 Rb 0.6667 0.3333 0.5000
# Total DFT energy (no corrections), eV per atom: -0.932
# Formation enthalpy at 0 K, eV/f.u.: 0.03

Record 7
# PmNiAsH, relaxed, DFT PBE
data_PmNiAsH
_cell_length_a 6.235
_cell_length_b 6.235
_cell_length_c 6.235
_cell_angle_alpha 90.00
_cell_angle_beta 90.00
_cell_angle_gamma 90.00
_space_group_name_H-M_alt 'F -4 3 m'
_space_group_IT_number 216
_space_group_name_Hall 'F -4 2 3'
loop_
_atom_site_label
_atom_site_type_symbol
_atom_site_fract_x
_atom_site_fract_y
_atom_site_fract_z
Pm1 Pm 0.000 0.000 0.000
Ni1 Ni 0.250 0.250 0.250
As1 As 0.000 0.000 0.500
H1 H 0.250 0.250 0.750
# Total DFT energy (no corrections), eV per atom: -4.970
# Relative energy among the computed polymorphs, eV/atom: 0.5620

Record 8
# Li2CaAs2, relaxed, DFT PBE
data_Li2CaAs2
_cell_length_a 7.771
_cell_length_b 7.771
_cell_length_c 3.026
_cell_angle_alpha 90.00
_cell_angle_beta 90.00
_cell_angle_gamma 90.00
_space_group_name_H-M_alt 'P 4/m b m'
_space_group_IT_number 127
_space_group_name_Hall '-P 4 2ab'
loop_
_atom_site_label
_atom_site_type_symbol
_atom_site_fract_x
_atom_site_fract_y
_atom_site_fract_z
Li1 Li 0.113 0.387 0.000
Ca1 Ca 0.000 0.000 0.000
As1 As 0.182 0.682 0.500
# Total DFT energy (no corrections), eV per atom: -3.706
# Formation enthalpy at 0 K, eV/f.u.: -3.40

Record 9
# EuCdSb2, relaxed, DFT PBE
data_EuCdSb2
_cell_length_a 4.915
_cell_length_b 4.915
_cell_length_c 4.471
_cell_angle_alpha 90.00
_cell_angle_beta 90.00
_cell_angle_gamma 90.00
_space_group_name_H-M_alt 'P 4/m m m'
_space_group_IT_number 123
_space_group_name_Hall '-P 4 2'
loop_
_atom_site_label
_atom_site_type_symbol
_atom_site_fract_x
_atom_site_fract_y
_atom_site_fract_z
Eu1 Eu 0.000 0.000 0.000
Cd1 Cd 0.500 0.500 0.000
Sb1 Sb 0.000 0.500 0.500
# Total DFT energy (no corrections), eV per atom: -5.367
# E_form (uncorrected), meV/atom: -508

Record 10
# MgTlS2N, relaxed, DFT PBE
data_MgTlS2N
_cell_length_a 5.253
_cell_length_b 5.253
_cell_length_c 4.218
_cell_angle_alpha 90.00
_cell_angle_beta 90.00
_cell_angle_gamma 90.00
_space_group_name_H-M_alt 'P 4/m m m'
_space_group_IT_number 123
_space_group_name_Hall '-P 4 2'
loop_
_atom_site_label
_atom_site_type_symbol
_atom_site_fract_x
_atom_site_fract_y
_atom_site_fract_z
Mg1 Mg 0.000 0.000 0.000
Tl1 Tl 0.500 0.500 0.500
S1 S 0.000 0.500 0.500
N1 N 0.500 0.500 0.000
# Total DFT energy (no corrections), eV per atom: -3.230
# Relative energy among the computed polymorphs, eV/atom: 0.3893
# E_form (uncorrected), meV/atom: 879

Record 11
# Cu3Ni5Cl12, relaxed, DFT PBE
data_Cu3Ni5Cl12
_cell_length_a 15.074
_cell_length_b 15.074
_cell_length_c 15.074
_cell_angle_alpha 90.00
_cell_angle_beta 90.00
_cell_angle_gamma 90.00
_space_group_name_H-M_alt 'I a -3 d'
_space_group_IT_number 230
_space_group_name_Hall '-I 4bd 2c 3'
loop_
_atom_site_label
_atom_site_type_symbol
_atom_site_fract_x
_atom_site_fract_y
_atom_site_fract_z
Cu1 Cu 0.000 0.250 0.125
Ni1 Ni 0.000 0.000 0.000
Ni2 Ni 0.000 0.250 0.375
Cl1 Cl 0.007 0.020 0.656
# Total DFT energy (no corrections), eV per atom: -3.490
# E_form (uncorrected), meV/atom: -322

Record 12
# Ce3PrPu2Se6, relaxed, DFT PBE
data_Ce3PrPu2Se6
_cell_length_a 7.258
_cell_length_b 12.579
_cell_length_c 7.289
_cell_angle_alpha 90.00
_cell_angle_beta 109.39
_cell_angle_gamma 90.00
_space_group_name_H-M_alt 'C 1 2/m 1'
_space_group_IT_number 12
_space_group_name_Hall '-C 2y'
loop_
_atom_site_label
_atom_site_type_symbol
_atom_site_fract_x
_atom_site_fract_y
_atom_site_fract_z
Ce1 Ce 0.000 0.000 0.000
Ce2 Ce 0.000 0.336 0.000
Pr1 Pr 0.000 0.500 0.500
Pu1 Pu 0.000 0.167 0.500
Se1 Se 0.242 0.000 0.746
Se2 Se 0.247 0.170 0.252
# Total DFT energy (no corrections), eV per atom: -7.743
# E_form (uncorrected), meV/atom: -1731

Across the entries above, total moment takes the values 0.0, 16.0, 0.0, 2.0, 2.6, 0.0, 0.0, 0.0, 6.8, 2.0, 69.7, 28.9 μB/cell, respectively.